Compound: NbTlAu2S
Source: Alexandria via LeMat-Bulk
Functional: PBE
Structure: relaxed

POSCAR file:
```
NbTlAu2S
1.0
5.314 0.000 0.000
0.000 5.314 0.000
0.000 0.000 4.710
Nb Tl Au S
1 1 2 1
direct
0.000 0.000 0.000
0.500 0.500 0.500
0.000 0.500 0.000
0.500 0.000 0.000
0.000 0.000 0.500
```

Electronic total energy (eV for the cell shown): -22.68
Energy relative to the elements, uncorrected (eV per formula unit): 0.44
SG: P4/mmm
DOS(E_F) (states/eV per atom): 0.4965